VASP calculation (GGA-PBE) on BaCoMo2 after structural relaxation.

The value obtained for the energy relative to the lowest polymorph listed for this composition is 2.12 eV per formula unit. The total energy is -6.503 eV per atom. As for the formation enthalpy at 0 K: 1.170 eV per atom. Its crystal system is trigonal. The calculation puts the theoretical density at 8.399 Mg/m³.

The structure belongs to space group R-3m (No. 166, hexagonal axes); the cell edges are 2.9511, 2.9511 and 30.5250 Å and the angles 90.00°, 90.00° and 120.00°. The distinct sites, in fractional coordinates, are Ba at (0.0000, 0.0000, 0.0000), Co at (0.0000, 0.0000, 0.5000) and Mo at (0.0000, 0.0000, 0.2312).